# 1
! NpPa2N3 | the Alexandria database | PBE | optimized geometry; values from VASP
! magnetic moment: 3.057 Bohr magnetons per cell
! calculated total energy: -65.70 eV per cell
! E_form (uncorrected): -1.4650 eV per atom
&SYSTEM
  ibrav = 0, nat = 6, ntyp = 3
/
ATOMIC_SPECIES
Np 237.00 Np.upf
Pa 231.04 Pa.upf
N 14.01 N.upf
CELL_PARAMETERS angstrom
-1.741 1.741 7.420
1.741 -1.741 7.420
1.741 1.741 -7.420
ATOMIC_POSITIONS crystal
Np 0.000 0.000 0.000
Pa 0.335 0.335 0.000
Pa 0.665 0.665 0.000
N 0.168 0.168 0.000
N 0.500 0.500 0.000
N 0.832 0.832 0.000


# 2
! Np2PaN | the Alexandria database | PBE | optimized geometry; values from VASP
! relative energy among the computed polymorphs: 0.098 eV per atom
! magnetic moment: 2.911 Bohr magnetons per cell
! calculated total energy: -43.13 eV per cell
! E_form (uncorrected): 0.1437 eV per atom
&SYSTEM
  ibrav = 0, nat = 4, ntyp = 3
/
ATOMIC_SPECIES
Np 237.00 Np.upf
Pa 231.04 Pa.upf
N 14.01 N.upf
CELL_PARAMETERS angstrom
3.455 0.000 0.000
0.000 3.455 0.000
0.000 0.000 6.472
ATOMIC_POSITIONS crystal
Np 0.000 0.500 0.000
Np 0.500 0.000 0.000
Pa 0.000 0.000 0.500
N 0.500 0.500 0.500


# 3
! NpPa2N6 | the Alexandria database | PBE | optimized geometry; values from VASP
! magnetic moment: 0.000 Bohr magnetons per cell
! calculated total energy: -92.98 eV per cell
! E_form (uncorrected): -1.2327 eV per atom
&SYSTEM
  ibrav = 0, nat = 9, ntyp = 3
/
ATOMIC_SPECIES
Np 237.00 Np.upf
Pa 231.04 Pa.upf
N 14.01 N.upf
CELL_PARAMETERS angstrom
-1.899 2.678 5.633
1.899 -2.678 5.633
1.899 2.678 -5.633
ATOMIC_POSITIONS crystal
Np 0.000 0.000 0.000
Pa 0.334 0.334 0.000
Pa 0.666 0.666 0.000
N 0.082 0.840 0.242
N 0.236 0.500 0.736
N 0.402 0.160 0.242
N 0.598 0.840 0.758
N 0.764 0.500 0.264
N 0.918 0.160 0.758


# 4
! Np5Pa3N12 | the Alexandria database | PBE | optimized geometry; values from VASP
! magnetic moment: 56.023 Bohr magnetons per cell
! calculated total energy: -860.28 eV per cell
! E_form (uncorrected): -1.0987 eV per atom
&SYSTEM
  ibrav = 0, nat = 80, ntyp = 3
/
ATOMIC_SPECIES
Np 237.00 Np.upf
Pa 231.04 Pa.upf
N 14.01 N.upf
CELL_PARAMETERS angstrom
-6.686 6.686 6.686
6.686 -6.686 6.686
6.686 6.686 -6.686
ATOMIC_POSITIONS crystal
Np 0.000 0.000 0.000
Np 0.000 0.000 0.500
Np 0.000 0.500 0.000
Np 0.000 0.500 0.500
Np 0.125 0.750 0.875
Np 0.125 0.875 0.250
Np 0.250 0.125 0.875
Np 0.250 0.625 0.375
Np 0.375 0.250 0.625
Np 0.375 0.625 0.750
Np 0.500 0.000 0.000
Np 0.500 0.000 0.500
Np 0.500 0.500 0.000
Np 0.500 0.500 0.500
Np 0.625 0.375 0.250
Np 0.625 0.750 0.375
Np 0.750 0.375 0.625
Np 0.750 0.875 0.125
Np 0.875 0.125 0.750
Np 0.875 0.250 0.125
Pa 0.125 0.250 0.375
Pa 0.125 0.375 0.750
Pa 0.250 0.375 0.125
Pa 0.250 0.875 0.625
Pa 0.375 0.125 0.250
Pa 0.375 0.750 0.125
Pa 0.625 0.250 0.875
Pa 0.625 0.875 0.750
Pa 0.750 0.125 0.375
Pa 0.750 0.625 0.875
Pa 0.875 0.625 0.250
Pa 0.875 0.750 0.625
N 0.047 0.217 0.129
N 0.047 0.331 0.918
N 0.082 0.629 0.412
N 0.082 0.953 0.669
N 0.088 0.717 0.669
N 0.088 0.871 0.418
N 0.129 0.047 0.217
N 0.129 0.582 0.912
N 0.169 0.217 0.588
N 0.169 0.453 0.582
N 0.217 0.129 0.047
N 0.217 0.588 0.169
N 0.283 0.331 0.912
N 0.283 0.453 0.371
N 0.331 0.912 0.283
N 0.331 0.918 0.047
N 0.371 0.283 0.453
N 0.371 0.588 0.918
N 0.412 0.082 0.629
N 0.412 0.831 0.783
N 0.418 0.088 0.871
N 0.418 0.831 0.547
N 0.453 0.371 0.283
N 0.453 0.582 0.169
N 0.547 0.418 0.831
N 0.547 0.629 0.717
N 0.582 0.169 0.453
N 0.582 0.912 0.129
N 0.588 0.169 0.217
N 0.588 0.918 0.371
N 0.629 0.412 0.082
N 0.629 0.717 0.547
N 0.669 0.082 0.953
N 0.669 0.088 0.717
N 0.717 0.547 0.629
N 0.717 0.669 0.088
N 0.783 0.412 0.831
N 0.783 0.871 0.953
N 0.831 0.547 0.418
N 0.831 0.783 0.412
N 0.871 0.418 0.088
N 0.871 0.953 0.783
N 0.912 0.129 0.582
N 0.912 0.283 0.331
N 0.918 0.047 0.331
N 0.918 0.371 0.588
N 0.953 0.669 0.082
N 0.953 0.783 0.871


# 5
! NpPaN3 | the Alexandria database | PBE | optimized geometry; values from VASP
! magnetic moment: 5.858 Bohr magnetons per cell
! calculated total energy: -104.59 eV per cell
! E_form (uncorrected): -0.9769 eV per atom
&SYSTEM
  ibrav = 0, nat = 10, ntyp = 3
/
ATOMIC_SPECIES
Np 237.00 Np.upf
Pa 231.04 Pa.upf
N 14.01 N.upf
CELL_PARAMETERS angstrom
5.801 0.000 0.000
-2.901 5.024 0.000
0.000 0.000 5.349
ATOMIC_POSITIONS crystal
Np 0.000 0.000 0.250
Np 0.000 0.000 0.750
Pa 0.333 0.667 0.250
Pa 0.667 0.333 0.750
N 0.000 0.323 0.500
N 0.000 0.677 0.000
N 0.323 0.000 0.500
N 0.323 0.323 0.000
N 0.677 0.000 0.000
N 0.677 0.677 0.500


# 6
! Np3Pa2N8 | the Alexandria database | PBE | optimized geometry; values from VASP
! magnetic moment: 7.010 Bohr magnetons per cell
! calculated total energy: -140.04 eV per cell
! E_form (uncorrected): -1.2019 eV per atom
&SYSTEM
  ibrav = 0, nat = 13, ntyp = 3
/
ATOMIC_SPECIES
Np 237.00 Np.upf
Pa 231.04 Pa.upf
N 14.01 N.upf
CELL_PARAMETERS angstrom
6.318 0.000 0.000
0.000 3.645 0.000
-2.693 0.000 8.532
ATOMIC_POSITIONS crystal
Np 0.000 0.000 0.000
Np 0.260 0.500 0.332
Np 0.740 0.500 0.668
Pa 0.247 0.000 0.691
Pa 0.753 0.000 0.309
N 0.083 0.500 0.835
N 0.130 0.000 0.417
N 0.325 0.000 0.188
N 0.378 0.500 0.611
N 0.622 0.500 0.389
N 0.675 0.000 0.812
N 0.870 0.000 0.583
N 0.917 0.500 0.165


# 7
! NpPa6N12 | the Alexandria database | PBE | optimized geometry; values from VASP
! magnetic moment: 1.000 Bohr magnetons per cell
! calculated total energy: -201.69 eV per cell
! E_form (uncorrected): -1.6773 eV per atom
&SYSTEM
  ibrav = 0, nat = 19, ntyp = 3
/
ATOMIC_SPECIES
Np 237.00 Np.upf
Pa 231.04 Pa.upf
N 14.01 N.upf
CELL_PARAMETERS angstrom
5.035 2.907 3.150
-5.035 2.907 3.150
0.000 -5.814 3.150
ATOMIC_POSITIONS crystal
Np 0.000 0.000 0.000
Pa 0.136 0.600 0.296
Pa 0.296 0.136 0.600
Pa 0.400 0.704 0.864
Pa 0.600 0.296 0.136
Pa 0.704 0.864 0.400
Pa 0.864 0.400 0.704
N 0.063 0.688 0.936
N 0.064 0.937 0.312
N 0.175 0.435 0.593
N 0.312 0.064 0.937
N 0.407 0.825 0.565
N 0.435 0.593 0.175
N 0.565 0.407 0.825
N 0.593 0.175 0.435
N 0.688 0.936 0.063
N 0.825 0.565 0.407
N 0.936 0.063 0.688
N 0.937 0.312 0.064


# 8
! Np2Pa2N7 | the Alexandria database | PBE | optimized geometry; values from VASP
! magnetic moment: 3.017 Bohr magnetons per cell
! calculated total energy: -116.81 eV per cell
! E_form (uncorrected): -1.2421 eV per atom
&SYSTEM
  ibrav = 0, nat = 11, ntyp = 3
/
ATOMIC_SPECIES
Np 237.00 Np.upf
Pa 231.04 Pa.upf
N 14.01 N.upf
CELL_PARAMETERS angstrom
3.691 -3.877 0.000
3.691 3.877 0.000
0.000 0.000 5.360
ATOMIC_POSITIONS crystal
Np 0.232 0.768 0.000
Np 0.768 0.232 0.000
Pa 0.240 0.240 0.500
Pa 0.760 0.760 0.500
N 0.000 0.000 0.250
N 0.000 0.000 0.750
N 0.000 0.500 0.253
N 0.000 0.500 0.747
N 0.500 0.000 0.253
N 0.500 0.000 0.747
N 0.500 0.500 0.000


# 9
! NpPaN | the Alexandria database | PBE | optimized geometry; values from VASP
! magnetic moment: 2.750 Bohr magnetons per cell
! calculated total energy: -31.13 eV per cell
! E_form (uncorrected): -0.1242 eV per atom
&SYSTEM
  ibrav = 0, nat = 3, ntyp = 3
/
ATOMIC_SPECIES
Np 237.00 Np.upf
Pa 231.04 Pa.upf
N 14.01 N.upf
CELL_PARAMETERS angstrom
-1.479 1.479 5.717
1.479 -1.479 5.717
1.479 1.479 -5.717
ATOMIC_POSITIONS crystal
Np 0.000 0.000 0.000
Pa 0.742 0.742 0.000
N 0.371 0.371 0.000


# 10
! Np2PaN | the Alexandria database | PBE | optimized geometry; values from VASP
! relative energy among the computed polymorphs: 0.000 eV per atom
! magnetic moment: 7.043 Bohr magnetons per cell
! calculated total energy: -43.52 eV per cell
! E_form (uncorrected): 0.0459 eV per atom
&SYSTEM
  ibrav = 0, nat = 4, ntyp = 3
/
ATOMIC_SPECIES
Np 237.00 Np.upf
Pa 231.04 Pa.upf
N 14.01 N.upf
CELL_PARAMETERS angstrom
2.988 0.000 0.000
0.000 2.988 0.000
0.000 0.000 8.214
ATOMIC_POSITIONS crystal
Np 0.000 0.000 0.174
Np 0.000 0.000 0.826
Pa 0.500 0.500 0.500
N 0.500 0.500 0.000


# 11
! Np3PaN6 | the Alexandria database | PBE | optimized geometry; values from VASP
! relative energy among the computed polymorphs: 0.036 eV per atom
! magnetic moment: 8.000 Bohr magnetons per cell
! calculated total energy: -109.87 eV per cell
! E_form (uncorrected): -1.1598 eV per atom
&SYSTEM
  ibrav = 0, nat = 10, ntyp = 3
/
ATOMIC_SPECIES
Np 237.00 Np.upf
Pa 231.04 Pa.upf
N 14.01 N.upf
CELL_PARAMETERS angstrom
2.972 1.716 4.792
-2.972 1.716 4.792
0.000 -3.432 4.792
ATOMIC_POSITIONS crystal
Np 0.000 0.000 0.000
Np 0.225 0.225 0.225
Np 0.499 0.499 0.499
Pa 0.725 0.725 0.725
N 0.115 0.390 0.824
N 0.323 0.889 0.615
N 0.390 0.824 0.115
N 0.615 0.323 0.889
N 0.824 0.115 0.390
N 0.889 0.615 0.323


# 12
! Np2Pa3N9 | the Alexandria database | PBE | optimized geometry; values from VASP
! magnetic moment: 2.233 Bohr magnetons per cell
! calculated total energy: -147.57 eV per cell
! E_form (uncorrected): -1.3049 eV per atom
&SYSTEM
  ibrav = 0, nat = 14, ntyp = 3
/
ATOMIC_SPECIES
Np 237.00 Np.upf
Pa 231.04 Pa.upf
N 14.01 N.upf
CELL_PARAMETERS angstrom
-1.913 1.913 13.286
1.913 -1.913 13.286
1.913 1.913 -13.286
ATOMIC_POSITIONS crystal
Np 0.197 0.197 0.000
Np 0.803 0.803 0.000
Pa 0.000 0.000 0.000
Pa 0.402 0.402 0.000
Pa 0.598 0.598 0.000
N 0.056 0.556 0.500
N 0.167 0.667 0.500
N 0.333 0.833 0.500
N 0.444 0.944 0.500
N 0.550 0.050 0.500
N 0.653 0.153 0.500
N 0.750 0.250 0.500
N 0.847 0.347 0.500
N 0.950 0.450 0.500


# 13
! Np5PaN6 | the Alexandria database | PBE | optimized geometry; values from VASP
! magnetic moment: 15.427 Bohr magnetons per cell
! calculated total energy: -138.48 eV per cell
! E_form (uncorrected): -1.1942 eV per atom
&SYSTEM
  ibrav = 0, nat = 12, ntyp = 3
/
ATOMIC_SPECIES
Np 237.00 Np.upf
Pa 231.04 Pa.upf
N 14.01 N.upf
CELL_PARAMETERS angstrom
2.991 -5.183 0.000
2.991 5.183 0.000
-1.995 0.000 5.637
ATOMIC_POSITIONS crystal
Np 0.000 0.000 0.000
Np 0.167 0.833 0.500
Np 0.333 0.667 0.000
Np 0.667 0.333 0.000
Np 0.833 0.167 0.500
Pa 0.500 0.500 0.500
N 0.082 0.417 0.249
N 0.250 0.250 0.752
N 0.417 0.082 0.249
N 0.583 0.918 0.751
N 0.750 0.750 0.248
N 0.918 0.583 0.751


# 14
! NpPaN3 | the Alexandria database | PBE | optimized geometry; values from VASP
! magnetic moment: 12.008 Bohr magnetons per cell
! calculated total energy: -215.01 eV per cell
! E_form (uncorrected): -1.2682 eV per atom
&SYSTEM
  ibrav = 0, nat = 20, ntyp = 3
/
ATOMIC_SPECIES
Np 237.00 Np.upf
Pa 231.04 Pa.upf
N 14.01 N.upf
CELL_PARAMETERS angstrom
6.640 0.000 0.000
0.000 6.214 0.000
-1.045 0.000 7.212
ATOMIC_POSITIONS crystal
Np 0.105 0.237 0.460
Np 0.105 0.263 0.960
Np 0.895 0.737 0.040
Np 0.895 0.763 0.540
Pa 0.356 0.688 0.325
Pa 0.356 0.812 0.825
Pa 0.644 0.188 0.175
Pa 0.644 0.312 0.675
N 0.010 0.561 0.321
N 0.010 0.939 0.821
N 0.220 0.613 0.027
N 0.220 0.887 0.527
N 0.416 0.165 0.863
N 0.416 0.335 0.363
N 0.584 0.665 0.637
N 0.584 0.835 0.137
N 0.780 0.113 0.473
N 0.780 0.387 0.973
N 0.990 0.061 0.179
N 0.990 0.439 0.679


# 15
! NpPa2N | the Alexandria database | PBE | optimized geometry; values from VASP
! magnetic moment: 2.863 Bohr magnetons per cell
! calculated total energy: -38.97 eV per cell
! E_form (uncorrected): 0.3211 eV per atom
&SYSTEM
  ibrav = 0, nat = 4, ntyp = 3
/
ATOMIC_SPECIES
Np 237.00 Np.upf
Pa 231.04 Pa.upf
N 14.01 N.upf
CELL_PARAMETERS angstrom
4.866 0.000 0.000
0.000 4.866 0.000
0.000 0.000 3.120
ATOMIC_POSITIONS crystal
Np 0.000 0.000 0.000
Pa 0.000 0.500 0.500
Pa 0.500 0.000 0.500
N 0.500 0.500 0.000


# 16
! NpPa2PdN5 | the Alexandria database | PBE | optimized geometry; values from VASP
! magnetic moment: 4.009 Bohr magnetons per cell
! calculated total energy: -175.09 eV per cell
! E_form (uncorrected): -0.9768 eV per atom
&SYSTEM
  ibrav = 0, nat = 18, ntyp = 4
/
ATOMIC_SPECIES
Np 237.00 Np.upf
Pa 231.04 Pa.upf
Pd 106.42 Pd.upf
N 14.01 N.upf
CELL_PARAMETERS angstrom
1.731 -6.547 0.000
1.731 6.547 0.000
0.000 0.000 11.128
ATOMIC_POSITIONS crystal
Np 0.195 0.805 0.500
Np 0.805 0.195 0.000
Pa 0.112 0.888 0.182
Pa 0.130 0.870 0.772
Pa 0.870 0.130 0.272
Pa 0.888 0.112 0.682
Pd 0.485 0.515 0.453
Pd 0.515 0.485 0.953
N 0.047 0.953 0.576
N 0.284 0.716 0.863
N 0.292 0.708 0.154
N 0.350 0.650 0.557
N 0.499 0.501 0.763
N 0.501 0.499 0.263
N 0.650 0.350 0.057
N 0.708 0.292 0.654
N 0.716 0.284 0.363
N 0.953 0.047 0.076


# 17
! PmNp2PaN4 | the Alexandria database | PBE | optimized geometry; values from VASP
! magnetic moment: 6.714 Bohr magnetons per cell
! calculated total energy: -83.92 eV per cell
! E_form (uncorrected): -1.3109 eV per atom
&SYSTEM
  ibrav = 0, nat = 8, ntyp = 4
/
ATOMIC_SPECIES
Pm 145.00 Pm.upf
Np 237.00 Np.upf
Pa 231.04 Pa.upf
N 14.01 N.upf
CELL_PARAMETERS angstrom
6.061 0.000 0.000
0.000 3.493 0.000
-2.037 0.000 5.729
ATOMIC_POSITIONS crystal
Pm 0.000 0.000 0.000
Np 0.000 0.500 0.500
Np 0.500 0.000 0.500
Pa 0.500 0.500 0.000
N 0.261 0.000 0.748
N 0.270 0.500 0.268
N 0.730 0.500 0.732
N 0.739 0.000 0.252


# 18
! Pm2NpPaN6 | the Alexandria database | PBE | optimized geometry; values from VASP
! magnetic moment: 0.133 Bohr magnetons per cell
! calculated total energy: -190.67 eV per cell
! E_form (uncorrected): -1.3443 eV per atom
&SYSTEM
  ibrav = 0, nat = 20, ntyp = 4
/
ATOMIC_SPECIES
Pm 145.00 Pm.upf
Np 237.00 Np.upf
Pa 231.04 Pa.upf
N 14.01 N.upf
CELL_PARAMETERS angstrom
5.860 0.000 0.000
0.000 6.031 0.000
-5.845 0.000 8.428
ATOMIC_POSITIONS crystal
Pm 0.237 0.048 0.252
Pm 0.237 0.452 0.752
Pm 0.763 0.548 0.248
Pm 0.763 0.952 0.748
Np 0.000 0.000 0.500
Np 0.000 0.500 0.000
Pa 0.500 0.000 0.000
Pa 0.500 0.500 0.500
N 0.139 0.208 0.934
N 0.139 0.292 0.434
N 0.224 0.691 0.944
N 0.224 0.809 0.444
N 0.350 0.045 0.738
N 0.350 0.455 0.238
N 0.650 0.545 0.762
N 0.650 0.955 0.262
N 0.776 0.191 0.556
N 0.776 0.309 0.056
N 0.861 0.708 0.566
N 0.861 0.792 0.066